[1]
VASP calculation (GGA-PBE) on an optimized crystal structure of BaPaNi2Sb2.

Cell: 4.3336 4.3336 9.0873 Å, 90.00 90.00 120.00°
Last column: nearest neighbours and their distance in Å.
Atoms (fractional coordinates):
Ba  0.0000  0.0000  0.0000  6 Sb 3.52, 6 Ni 3.91
Pa  0.0000  0.0000  0.5000  6 Ni 2.94, 6 Sb 3.25
Ni  0.3333  0.6667  0.3305  3 Sb 2.56
Ni  0.6667  0.3333  0.6695  3 Sb 2.56
Sb  0.3333  0.6667  0.7280  3 Ni 2.56
Sb  0.6667  0.3333  0.2720  3 Ni 2.56

Properties
Volume, Å³/f.u.: 147.8
ΔE_f (raw), eV/atom: -0.672
E, eV/cell: -35.3
D(E_F), states/eV per cell: 5.14

***

[2]
VASP calculation (GGA-PBE) on an optimized crystal structure of Ba2PaNiSe5.

Cell: 9.4948 9.4948 13.4543 Å, 90.00 90.00 154.15°
Last column: nearest neighbours and their distance in Å.
Atoms (fractional coordinates):
Ba  0.1127  0.8873  0.5000  7 Se 3.18-3.54
Ba  0.1212  0.8788  0.8565  7 Se 3.18-3.51
Ba  0.8788  0.1212  0.3565  7 Se 3.18-3.51
Ba  0.8873  0.1127  0.0000  7 Se 3.18-3.54
Pa  0.1889  0.8111  0.1775  6 Se 2.73-2.86
Pa  0.8111  0.1889  0.6775  6 Se 2.73-2.86
Ni  0.4280  0.5720  0.5830  4 Se 2.41-2.43
Ni  0.5720  0.4280  0.0830  4 Se 2.41-2.43
Se  0.0419  0.9581  0.1611  2 Ni 2.43
Se  0.3018  0.6982  0.5357  1 Ni 2.42
Se  0.3075  0.6925  0.8200  2 Pa 2.86
Se  0.3389  0.6611  0.1769  1 Pa 2.78
Se  0.4954  0.5046  0.4299  1 Ni 2.41
Se  0.5046  0.4954  0.9299  1 Ni 2.41
Se  0.6611  0.3389  0.6769  1 Pa 2.78
Se  0.6925  0.3075  0.3200  2 Pa 2.86
Se  0.6982  0.3018  0.0357  1 Ni 2.42
Se  0.9581  0.0419  0.6611  2 Ni 2.43

Properties
Volume, Å³/f.u.: 264.4
ΔE_f (raw), eV/atom: -1.457
E, eV/cell: -99.3
D(E_F), states/eV per cell: 12.77

***

[3]
VASP calculation (GGA-PBE) on an optimized crystal structure of BaNiPb2.

Cell: 3.6108 6.1563 10.4271 Å, 90.00 90.00 90.00°
Last column: nearest neighbours and their distance in Å.
Atoms (fractional coordinates):
Ba  0.0000  0.0000  0.0000  4 Ni 3.57, 2 Ba 3.61, 8 Pb 3.65-3.69
Ba  0.5000  0.5000  0.5000  4 Ni 3.57, 2 Ba 3.61, 8 Pb 3.65-3.69
Ni  0.0000  0.0000  0.5000  4 Pb 2.73
Ni  0.5000  0.5000  0.0000  4 Pb 2.73
Pb  0.0000  0.5000  0.1959  2 Ni 2.73
Pb  0.0000  0.5000  0.8041  2 Ni 2.73
Pb  0.5000  0.0000  0.3041  2 Ni 2.73
Pb  0.5000  0.0000  0.6959  2 Ni 2.73

Properties
Volume, Å³/f.u.: 115.9
ΔH_f (0 K), eV per atom: -0.0907
E, eV/cell: -31.0
D(E_F), states/eV per cell: 4.10

***

[4]
VASP calculation (GGA-PBE) on an optimized crystal structure of BaNi2Pb2.

Cell: 8.2382 8.2382 3.5587 Å, 90.00 90.00 90.00°
Last column: nearest neighbours and their distance in Å.
Atoms (fractional coordinates):
Ba  0.0000  0.0000  0.0000  4 Ni 3.34, 2 Ba 3.56, 8 Pb 3.61
Ba  0.5000  0.5000  0.0000  4 Ni 3.34, 2 Ba 3.56, 8 Pb 3.61
Ni  0.1105  0.3895  0.0000  1 Ni 2.58, 4 Pb 2.81
Ni  0.3895  0.8895  0.0000  1 Ni 2.58, 4 Pb 2.81
Ni  0.6105  0.1105  0.0000  1 Ni 2.58, 4 Pb 2.81
Ni  0.8895  0.6105  0.0000  1 Ni 2.58, 4 Pb 2.81
Pb  0.1499  0.6499  0.5000  4 Ni 2.81
Pb  0.3501  0.1499  0.5000  4 Ni 2.81
Pb  0.6499  0.8501  0.5000  4 Ni 2.81
Pb  0.8501  0.3501  0.5000  4 Ni 2.81

Properties
Volume, Å³/f.u.: 120.8
ΔH_f (0 K), eV per atom: 0.1096
E, eV/cell: -40.7
D(E_F), states/eV per cell: 5.86

***

Question: Among the records above, which one has the lowest E?
Answer: Ba2PaNiSe5

***

Question: The highest E belongs to which entry?
Answer: BaNiPb2

***

Question: D(E_F) of number 3 (BaNiPb2)?
Answer: 4.10 states/eV per cell

***

Question: Look up the E of the first one.
Answer: -35.3 eV/cell